No. 1
! Zn2BBr meta-GGA SCAN PBEsol geometry; values from VASP
&SYSTEM
  ibrav = 0, nat = 4, ntyp = 3
/
ATOMIC_SPECIES
Zn 65.41 Zn.upf
Br 79.90 Br.upf
B 10.81 B.upf
ATOMIC_POSITIONS angstrom
Zn 2.251 1.299 0.919
Br 4.502 2.599 1.838
B 0.000 0.000 0.000
Zn 6.752 3.898 2.757
CELL_PARAMETERS angstrom
4.502 0.000 0.000
2.251 3.898 0.000
2.251 1.299 3.676
! Density in g/cm3: 5.70
! Magnetization in μB per formula unit: 0.00
! Formation energy without anion corrections in kJ/mol of atoms: 126.4
! Energy in eV per atom: -12.17

=====

No. 2
! BeNb3F meta-GGA SCAN PBEsol geometry; values from VASP
&SYSTEM
  ibrav = 0, nat = 5, ntyp = 3
/
ATOMIC_SPECIES
Be 9.01 Be.upf
Nb 92.91 Nb.upf
F 19.00 F.upf
ATOMIC_POSITIONS angstrom
Be 0.000 0.000 0.000
Nb 2.191 0.000 0.000
F 2.191 2.191 2.191
Nb 0.000 0.000 2.191
Nb 0.000 2.191 0.000
CELL_PARAMETERS angstrom
4.381 0.000 0.000
0.000 4.381 0.000
0.000 0.000 4.381
! Density in g/cm3: 6.06
! Magnetization in μB per formula unit: 0.00
! Formation energy without anion corrections in kJ/mol of atoms: 75.9
! Energy in eV per atom: -20.67

=====

No. 3
! HfSeBr2N meta-GGA SCAN PBEsol geometry; values from VASP
&SYSTEM
  ibrav = 0, nat = 5, ntyp = 4
/
ATOMIC_SPECIES
N 14.01 N.upf
Br 79.90 Br.upf
Se 78.96 Se.upf
Hf 178.49 Hf.upf
ATOMIC_POSITIONS angstrom
N 0.000 0.000 0.000
Br 0.000 2.224 0.000
Br 0.000 0.000 2.224
Se 2.259 0.000 0.000
Hf 2.259 2.224 2.224
CELL_PARAMETERS angstrom
4.519 0.000 0.000
0.000 4.448 0.000
0.000 0.000 4.448
! Density in g/cm3: 8.01
! Magnetization in μB per formula unit: 1.17
! Formation energy without anion corrections in kJ/mol of atoms: 85.2
! Offset from the most stable computed form in eV/atom: 0.897
! Energy in eV per atom: -25.31